(1)
Density functional theory data (PBE) for a geometry-optimized Gd2YAl2Cd4 structure.

Properties
VASP energy   -3.382 eV/atom
Space-group type   Amm2
ρ   7.06 g cm⁻³

```
Gd2YAl2Cd4
1.0
4.547 0.000 0.000
0.000 6.363 3.685
0.000 -6.363 3.685
Al Cd Gd Y
2 4 2 1
direct
0.500 0.667 0.334
0.500 0.334 0.667
0.500 0.747 0.000
0.500 0.253 0.253
0.500 0.000 0.747
0.000 0.998 0.998
0.000 0.428 0.001
0.000 0.001 0.428
0.000 0.572 0.572
```

***

(2)
Density functional theory data (PBE) for a geometry-optimized Al2CdGe structure.

Properties
VASP energy   -3.003 eV/atom
Space-group type   F-43m
ρ   5.10 g cm⁻³

```
Al2CdGe
1.0
0.000 3.389 3.389
3.389 0.000 3.389
3.389 3.389 0.000
Al Cd Ge
2 1 1
direct
0.000 0.000 0.000
0.250 0.250 0.250
0.500 0.500 0.500
0.750 0.750 0.750
```

***

(3)
Density functional theory data (PBE) for a geometry-optimized Li2AlCd2GePt2 structure.

Properties
VASP energy   -3.736 eV/atom
Space-group type   P-4m2
ρ   9.35 g cm⁻³

```
Li2AlCd2GePt2
1.0
-2.197 3.852 0.788
-3.800 -2.312 0.705
1.427 -0.455 6.202
Al Cd Ge Li Pt
1 2 1 2 2
direct
0.000 0.000 0.000
0.500 0.500 0.000
0.000 0.000 0.500
0.500 0.500 0.500
0.500 0.000 0.253
0.000 0.500 0.747
0.000 0.500 0.245
0.500 0.000 0.755
```

***

(4)
Density functional theory data (PBE) for a geometry-optimized AlCdH6Ir structure.

Properties
VASP energy   -3.020 eV/atom
Space-group type   F-43m
ρ   7.84 g cm⁻³

```
AlCdH6Ir
1.0
1.861 0.945 4.166
-2.319 2.666 3.037
-1.819 -1.895 3.848
Al Cd H Ir
1 1 6 1
direct
0.000 0.000 0.000
0.250 0.250 0.250
0.734 0.266 0.266
0.266 0.734 0.266
0.734 0.734 0.266
0.266 0.266 0.734
0.266 0.734 0.734
0.734 0.266 0.734
0.750 0.750 0.750
```

***

Repeat the fourth record exactly.
Density functional theory data (PBE) for a geometry-optimized AlCdH6Ir structure.

Properties
VASP energy   -3.020 eV/atom
Space-group type   F-43m
ρ   7.84 g cm⁻³

```
AlCdH6Ir
1.0
1.861 0.945 4.166
-2.319 2.666 3.037
-1.819 -1.895 3.848
Al Cd H Ir
1 1 6 1
direct
0.000 0.000 0.000
0.250 0.250 0.250
0.734 0.266 0.266
0.266 0.734 0.266
0.734 0.734 0.266
0.266 0.266 0.734
0.266 0.734 0.734
0.734 0.266 0.734
0.750 0.750 0.750
```

***

Q: Which formula does entry 2 have?
A: Al2CdGe

***

Q: VASP energy of number 1 (Gd2YAl2Cd4)?
A: -3.382 eV/atom

***

Q: What is the formula in the fourth record?
A: AlCdH6Ir